This record from the Alexandria database describes Pr2Nd6YEr after structural relaxation. The functional is PBE.

Results
As for the symmetry: C2/c (15). As for the crystal system: monoclinic. The total magnetic moment is 0.0 μB per cell. Its formation energy is 111 meV per atom.

a = 9.8725 Å, b = 9.0290 Å, c = 9.0290 Å
α = 118.38°, β = 94.24°, γ = 94.24°
Sites, in units of the cell vectors:
Pr (0.4578, 0.8044, 0.7005)
Pr (0.0422, 0.2995, 0.1956)
Pr (0.5422, 0.1956, 0.2995)
Pr (0.9578, 0.7005, 0.8044)
Nd (0.0547, 0.1248, 0.7534)
Nd (0.4453, 0.2466, 0.8752)
Nd (0.9453, 0.8752, 0.2466)
Nd (0.5547, 0.7534, 0.1248)
Nd (0.3094, 0.9839, 0.4262)
Nd (0.1906, 0.5738, 0.0161)
Nd (0.6906, 0.0161, 0.5738)
Nd (0.8094, 0.4262, 0.9839)
Nd (0.1185, 0.7094, 0.5003)
Nd (0.3815, 0.4997, 0.2906)
Nd (0.8815, 0.2906, 0.4997)
Nd (0.6185, 0.5003, 0.7094)
Y (0.2500, 0.9801, 0.0199)
Y (0.7500, 0.0199, 0.9801)
Er (0.2500, 0.4087, 0.5913)
Er (0.7500, 0.5913, 0.4087)